Record 1
Tb2PdN | PBE-GGA | relaxed

Lattice parameters (Å, degrees): 3.3892 3.3892 8.3398 78.28 78.28 60.00
With the nearest neighbours (Å) after each atom.
Element x y z (fractional)
Tb1 0.8900 0.8900 0.3300  3 N 2.39, 1 Pd 2.68
Tb2 0.1100 0.1100 0.6700  3 N 2.39, 1 Pd 2.68
Pd1 0.0000 0.0000 0.0000  2 Tb 2.68
N1 0.5000 0.5000 0.5000  6 Tb 2.39

Energy relative to the lowest polymorph listed for this composition, meV per atom: 0
Raw formation energy, kJ/mol of formula units: -289
E_tot, eV per atom: -6.443
Volume, Å³ per cell: 80.65

Record 2
La2Tb4Tm5 | PBE-GGA | relaxed

Lattice parameters (Å, degrees): 3.4762 11.5312 10.9830 121.67 99.11 90.00
With the nearest neighbours (Å) after each atom.
Element x y z (fractional)
Tb1 0.4090 0.4090 0.8180  7 Tb 3.34-3.56, 4 Tm 3.40
Tb2 0.5910 0.5910 0.1820  7 Tb 3.34-3.56, 4 Tm 3.40
Tb3 0.0000 0.2732 0.0000  4 Tm 3.28-3.60, 6 Tb 3.48-3.56
Tb4 0.0000 0.7268 0.0000  4 Tm 3.28-3.60, 6 Tb 3.48-3.56
Tm1 0.1782 0.8901 0.3565  4 Tm 3.28-3.48, 3 Tb 3.28-3.40, 1 La 3.35
Tm2 0.1782 0.4664 0.3565  4 Tm 3.28-3.48, 3 Tb 3.28-3.40, 1 La 3.35
Tm3 0.8218 0.5336 0.6435  4 Tm 3.28-3.48, 3 Tb 3.28-3.40, 1 La 3.35
Tm4 0.5000 0.0000 0.0000  2 Tm 3.48, 4 Tb 3.60
Tm5 0.8218 0.1099 0.6435  4 Tm 3.28-3.48, 3 Tb 3.28-3.40, 1 La 3.35
La1 0.7977 0.7977 0.5955  6 Tm 3.35-3.72, 2 La 3.48
La2 0.2023 0.2023 0.4045  6 Tm 3.35-3.72, 2 La 3.48

Energy relative to the lowest polymorph listed for this composition, meV per atom: 88
Energy of formation, eV/atom: 0.21
E_tot, eV per atom: -4.402
Volume, Å³ per cell: 368.18

Record 3
CeCu4Ag2 | PBE-GGA | relaxed

Lattice parameters (Å, degrees): 5.3211 5.3915 5.3917 75.74 60.18 60.18
With the nearest neighbours (Å) after each atom.
Element x y z (fractional)
Cu1 0.3155 0.3711 0.0000  2 Cu 2.45-2.46
Cu2 0.6845 0.6289 0.0000  2 Cu 2.45-2.46
Cu3 0.6845 0.0000 0.6288  2 Cu 2.45-2.46
Cu4 0.3155 0.0000 0.3712  2 Cu 2.45-2.46
Ce1 0.0000 0.0000 0.0000  12 Cu 2.94-3.19
Ag1 0.2497 0.5003 0.5003  2 Ag 2.66, 8 Cu 2.75-2.76
Ag2 0.7503 0.4997 0.4997  2 Ag 2.66, 8 Cu 2.75-2.76

Energy of formation, eV/atom: -0.04
E_tot, eV per atom: -4.040
Volume, Å³ per cell: 116.44

Please write out number 1 again, unchanged.
Tb2PdN | PBE-GGA | relaxed

Lattice parameters (Å, degrees): 3.3892 3.3892 8.3398 78.28 78.28 60.00
With the nearest neighbours (Å) after each atom.
Element x y z (fractional)
Tb1 0.8900 0.8900 0.3300  3 N 2.39, 1 Pd 2.68
Tb2 0.1100 0.1100 0.6700  3 N 2.39, 1 Pd 2.68
Pd1 0.0000 0.0000 0.0000  2 Tb 2.68
N1 0.5000 0.5000 0.5000  6 Tb 2.39

Energy relative to the lowest polymorph listed for this composition, meV per atom: 0
Raw formation energy, kJ/mol of formula units: -289
E_tot, eV per atom: -6.443
Volume, Å³ per cell: 80.65